# 1
PBE ScMo2P, optimized geometry; calculated formation energy = -0.7 eV per formula unit; D(E_F) = 2.6 states/eV/f.u.; space-group type = P4/mmm, No. 123
1.0
3.820 0.000 0.000
0.000 3.820 0.000
0.000 0.000 4.292
Mo Sc P
2 1 1
direct
0.000 0.500 0.000 Mo
0.500 0.000 0.000 Mo
0.000 0.000 0.500 Sc
0.500 0.500 0.500 P

---

# 2
PBE Pr3SnGe2Rh9, optimized geometry; calculated formation energy = -4.0 eV per formula unit; D(E_F) = 4.4 states/eV/f.u.; space-group type = P-3m1, No. 164
1.0
6.923 0.000 0.000
-3.461 5.995 0.000
0.000 0.000 7.498
Rh Ge Pr Sn
9 2 3 1
direct
0.616 0.808 0.365 Rh
0.500 0.000 0.000 Rh
0.500 0.500 0.000 Rh
0.808 0.192 0.635 Rh
0.192 0.808 0.365 Rh
0.808 0.616 0.635 Rh
0.384 0.192 0.635 Rh
0.192 0.384 0.365 Rh
0.000 0.500 0.000 Rh
0.667 0.333 0.850 Ge
0.333 0.667 0.150 Ge
0.000 0.000 0.000 Pr
0.667 0.333 0.320 Pr
0.333 0.667 0.680 Pr
0.000 0.000 0.500 Sn

---

# 3
PBE Te3PdS, optimized geometry; uncorrected formation energy = 0.729 eV per atom; D(E_F) = 6.0 states/eV/f.u.; space-group type = Pm-3m, No. 221; energy above the lowest structure with this stoichiometry = 47 kJ/mol of formula units
1.0
5.201 0.000 0.000
0.000 5.201 0.000
0.000 0.000 5.201
Te S Pd
3 1 1
direct
0.000 0.000 0.500 Te
0.500 0.000 0.000 Te
0.000 0.500 0.000 Te
0.000 0.000 0.000 S
0.500 0.500 0.500 Pd

---

# 4
PBE Ti5FePd, optimized geometry; calculated formation energy = 0.0 eV per formula unit; D(E_F) = 6.2 states/eV/f.u.; space-group type = C2/c, No. 15
1.0
-1.077 -1.243 5.183
-4.392 -3.089 0.858
2.605 -8.934 1.816
Ti Pd Fe
10 2 2
direct
0.766 0.499 0.492 Ti
0.501 0.234 0.008 Ti
0.960 0.040 0.750 Ti
0.499 0.766 0.992 Ti
0.234 0.501 0.508 Ti
0.017 0.531 0.177 Ti
0.531 0.017 0.677 Ti
0.983 0.469 0.823 Ti
0.040 0.960 0.250 Ti
0.469 0.983 0.323 Ti
0.559 0.441 0.250 Pd
0.441 0.559 0.750 Pd
0.000 0.000 0.000 Fe
0.000 0.000 0.500 Fe

---

# 5
PBE CaSb2AuI, optimized geometry; uncorrected formation energy = 0.032 eV per atom; D(E_F) = 5.2 states/eV/f.u.; space-group type = P4/mmm, No. 123; energy above the lowest structure with this stoichiometry = 0 kJ/mol of formula units
1.0
5.409 0.000 0.000
0.000 5.799 0.000
0.000 0.000 5.409
Ca Sb I Au
1 2 1 1
direct
0.500 0.500 0.500 Ca
0.000 0.000 0.500 Sb
0.500 0.000 0.000 Sb
0.000 0.500 0.000 I
0.000 0.000 0.000 Au

---

# 6
PBE NaSr2Ac3Se6, optimized geometry; uncorrected formation energy = -1.869 eV per atom; D(E_F) = 3.3 states/eV/f.u.; space-group type = C2/m, No. 12
1.0
-0.919 -1.848 7.403
6.894 2.212 -2.577
-3.643 6.811 -0.081
Se Sr Ac Na
6 2 3 1
direct
0.585 0.917 0.752 Se
0.083 0.415 0.248 Se
0.250 0.250 0.753 Se
0.917 0.585 0.752 Se
0.750 0.750 0.247 Se
0.415 0.083 0.248 Se
0.667 0.333 0.000 Sr
0.333 0.667 0.000 Sr
0.834 0.166 0.500 Ac
0.500 0.500 0.500 Ac
0.166 0.834 0.500 Ac
0.000 0.000 0.000 Na

---

# 7
PBE PaNbAl2, optimized geometry; calculated formation energy = -0.9 eV per formula unit; D(E_F) = 4.3 states/eV/f.u.; space-group type = P4/mmm, No. 123; energy above the lowest structure with this stoichiometry = 4 kJ/mol of formula units
1.0
2.883 0.000 0.000
0.000 2.883 0.000
0.000 0.000 9.056
Pa Nb Al
1 1 2
direct
0.500 0.500 0.500 Pa
0.500 0.500 0.000 Nb
0.000 0.000 0.772 Al
0.000 0.000 0.228 Al

---

# 8
PBE Hf2InAgH, optimized geometry; D(E_F) = 2.1 states/eV/f.u.; space-group type = P4/mmm, No. 123
1.0
-2.121 2.781 2.546
1.803 -1.817 3.487
3.424 2.865 -0.277
H Hf In Ag
1 2 1 1
direct
0.000 0.000 0.000 H
0.000 0.500 0.000 Hf
0.500 0.000 0.000 Hf
0.500 0.500 0.500 In
0.000 0.000 0.500 Ag

---

Calculated density in order - 7101; 8606; 6154; 5795; 5947; 6024; 8336; 11518 kg/m³
Calculated calculated volume in order - 62.6; 311.2; 140.7; 230.1; 169.6; 373.0; 75.3; 83.7 Å³ per cell
Calculated DFT total energy in order - -34.1; -97.8; -15.1; -53.1; -14.9; -60.3; -27.9; -29.5 eV/f.u.